## MnCoIr (PBEsol)

Data for a relaxed MnCoIr crystal.

Unit cell a=3.993 b=3.993 c=3.993 alpha=60.00 beta=60.00 gamma=60.00
Element x y z (fractional)
Co 0.500 0.500 0.500
Ir 0.250 0.250 0.250
Mn 0.000 0.000 0.000

- E_tot (eV for the cell shown) = -25.44
- size of the total moment (Bohr magnetons per cell) = 1.06